PmHo2Mg9 | PBE | optimized geometry

Results
The value obtained for the total moment is 0.00 μB/cell. The formation energy comes out at -0.0445 eV per atom. As for the raw total energy: -2.399 eV per atom. For the density of states at the Fermi level, the calculation gives 11.177 states/eV/f.u.

Lattice parameters (Å, degrees): 6.040 6.040 10.346 73.03 73.03 60.00
Atoms (fractional coordinates):
Pm 0.000 0.000 0.000
Ho 0.856 0.856 0.432
Ho 0.144 0.144 0.568
Mg 0.666 0.666 0.002
Mg 0.334 0.334 0.998
Mg 0.500 0.500 0.500
Mg 0.413 0.413 0.254
Mg 0.920 0.413 0.254
Mg 0.413 0.920 0.254
Mg 0.587 0.587 0.746
Mg 0.587 0.080 0.746
Mg 0.080 0.587 0.746